[1]
Below is a geometry-optimized CaCdPb structure, with properties calculated at the PBE level.

Computed properties:
- Energy of formation from the pure elements: -0.911 eV per formula unit
- Magnetization: 0.00 μB per formula unit
- ρ: 6.9 Mg/m³

The structure in CIF format:
```
data_CaCdPb
_chemical_formula_sum 'Ca2 Cd2 Pb2'
_symmetry_space_group_name_H-M 'P -1'
_symmetry_Int_Tables_number 2
_cell_length_a 3.754
_cell_length_b 5.398
_cell_length_c 8.771
_cell_angle_alpha 103.15
_cell_angle_beta 90.26
_cell_angle_gamma 90.04
loop_
_symmetry_equiv_pos_as_xyz
'x,y,z'
'-x,-y,-z'
loop_
_atom_site_label
_atom_site_fract_x
_atom_site_fract_y
_atom_site_fract_z
Ca1 0.245 0.291 0.168
Cd1 0.250 0.733 0.500
Pb1 0.255 0.190 0.785
```

=====

[2]
Below is a geometry-optimized Ce2GdOs structure, with properties calculated at the PBE level.

Computed properties:
- Energy of formation from the pure elements: 0.406 eV per formula unit
- Magnetization: 8.70 μB per formula unit
- ρ: 10.8 Mg/m³

The structure in CIF format:
```
data_Ce2GdOs
_chemical_formula_sum 'Ce6 Gd3 Os3'
_symmetry_space_group_name_H-M 'R -3 m'
_symmetry_Int_Tables_number 166
_symmetry_space_group_name_Hall '-R 3 2"'
_cell_length_a 4.7667
_cell_length_b 4.7667
_cell_length_c 14.7067
_cell_angle_alpha 90.00
_cell_angle_beta 90.00
_cell_angle_gamma 120.00
loop_
_atom_site_label
_atom_site_fract_x
_atom_site_fract_y
_atom_site_fract_z
Ce1 0.0000 0.0000 0.2392
Gd1 0.0000 0.0000 0.0000
Os1 0.0000 0.0000 0.5000
```

=====

[3]
Below is a geometry-optimized Nb12ZnGa3 structure, with properties calculated at the PBE level.

Computed properties:
- Energy of formation from the pure elements: -2.354 eV per formula unit
- Magnetization: 0.00 μB per formula unit
- ρ: 8.2 Mg/m³

The structure in CIF format:
```
data_Nb12ZnGa3
_chemical_formula_sum 'Nb12 Zn1 Ga3'
_symmetry_space_group_name_H-M 'P m m m'
_symmetry_Int_Tables_number 47
_cell_length_a 5.203
_cell_length_b 5.205
_cell_length_c 10.352
_cell_angle_alpha 90.00
_cell_angle_beta 90.00
_cell_angle_gamma 90.00
loop_
_symmetry_equiv_pos_as_xyz
'x,y,z'
'-x,-y,-z'
'-x,-y,z'
'x,y,-z'
'x,-y,-z'
'-x,y,z'
'-x,y,-z'
'x,-y,z'
loop_
_atom_site_label
_atom_site_fract_x
_atom_site_fract_y
_atom_site_fract_z
Nb1 0.000 0.000 0.124
Nb2 0.000 0.000 0.374
Nb3 0.250 0.500 0.500
Nb4 0.252 0.500 0.000
Nb5 0.500 0.251 0.250
Zn1 0.500 0.000 0.000
Ga1 0.000 0.500 0.251
Ga2 0.500 0.000 0.500
```

=====

[4]
Below is a geometry-optimized K2TaTl structure, with properties calculated at the PBE level.

Computed properties:
- Energy of formation from the pure elements: 5.517 eV per formula unit
- Magnetization: 4.00 μB per formula unit
- ρ: 5.3 Mg/m³

The structure in CIF format:
```
data_K2TaTl
_chemical_formula_sum 'K8 Ta4 Tl4'
_symmetry_space_group_name_H-M 'F m -3 m'
_symmetry_Int_Tables_number 225
_symmetry_space_group_name_Hall '-F 4 2 3'
_cell_length_a 8.335
_cell_length_b 8.335
_cell_length_c 8.335
_cell_angle_alpha 90.00
_cell_angle_beta 90.00
_cell_angle_gamma 90.00
loop_
_atom_site_label
_atom_site_fract_x
_atom_site_fract_y
_atom_site_fract_z
K1 0.250 0.250 0.250
Ta1 0.000 0.000 0.000
Tl1 0.000 0.000 0.500
```

=====

[5]
Below is a geometry-optimized Lu2TaCl structure, with properties calculated at the PBE level.

Computed properties:
- Formation energy (no corrections): 0.02 eV/f.u.
- Magnetization: 0.70 μB per formula unit
- ρ: 10.3 Mg/m³

The structure in CIF format:
```
data_Lu2TaCl
_chemical_formula_sum 'Lu6 Ta3 Cl3'
_symmetry_space_group_name_H-M 'R -3 m'
_symmetry_Int_Tables_number 166
_symmetry_space_group_name_Hall '-R 3 2"'
_cell_length_a 3.1812
_cell_length_b 3.1812
_cell_length_c 31.1201
_cell_angle_alpha 90.00
_cell_angle_beta 90.00
_cell_angle_gamma 120.00
loop_
_atom_site_label
_atom_site_fract_x
_atom_site_fract_y
_atom_site_fract_z
Lu1 0.0000 0.0000 0.0944
Ta1 0.0000 0.0000 0.0000
Cl1 0.0000 0.0000 0.5000
```

=====

[6]
Below is a geometry-optimized TaAlSi3 structure, with properties calculated at the PBE level.

Computed properties:
- Formation energy (no corrections): 6.72 eV/f.u.
- Magnetization: 0.00 μB per formula unit
- ρ: 5.0 Mg/m³

The structure in CIF format:
```
data_TaAlSi3
_chemical_formula_sum 'Ta1 Al1 Si3'
_symmetry_space_group_name_H-M 'P m -3 m'
_symmetry_Int_Tables_number 221
_symmetry_space_group_name_Hall '-P 4 2 3'
_cell_length_a 4.588
_cell_length_b 4.588
_cell_length_c 4.588
_cell_angle_alpha 90.00
_cell_angle_beta 90.00
_cell_angle_gamma 90.00
loop_
_atom_site_label
_atom_site_fract_x
_atom_site_fract_y
_atom_site_fract_z
Ta1 0.000 0.000 0.000
Al1 0.500 0.500 0.500
Si1 0.000 0.500 0.500
```

=====

[7]
Below is a geometry-optimized Ta2FeRh2 structure, with properties calculated at the PBE level.

Computed properties:
- Energy of formation from the pure elements: 1.292 eV per formula unit
- Magnetization: 3.16 μB per formula unit
- ρ: 10.9 Mg/m³

The structure in CIF format:
```
data_Ta2FeRh2
_chemical_formula_sum 'Ta4 Fe2 Rh4'
_symmetry_space_group_name_H-M 'I 4/m m m'
_symmetry_Int_Tables_number 139
_symmetry_space_group_name_Hall '-I 4 2'
_cell_length_a 4.340
_cell_length_b 4.340
_cell_length_c 10.059
_cell_angle_alpha 90.00
_cell_angle_beta 90.00
_cell_angle_gamma 90.00
loop_
_atom_site_label
_atom_site_fract_x
_atom_site_fract_y
_atom_site_fract_z
Ta1 0.000 0.500 0.250
Fe1 0.000 0.000 0.000
Rh1 0.000 0.000 0.379
```

=====

[8]
Below is a geometry-optimized Hf3VW structure, with properties calculated at the PBE level.

Computed properties:
- Energy of formation from the pure elements: 5.882 eV per formula unit
- Magnetization: 0.43 μB per formula unit
- ρ: 12.0 Mg/m³

The structure in CIF format:
```
data_Hf3VW
_chemical_formula_sum 'Hf3 V1 W1'
_symmetry_space_group_name_H-M 'P m -3 m'
_symmetry_Int_Tables_number 221
_symmetry_space_group_name_Hall '-P 4 2 3'
_cell_length_a 4.741
_cell_length_b 4.741
_cell_length_c 4.741
_cell_angle_alpha 90.00
_cell_angle_beta 90.00
_cell_angle_gamma 90.00
loop_
_atom_site_label
_atom_site_fract_x
_atom_site_fract_y
_atom_site_fract_z
Hf1 0.000 0.000 0.500
V1 0.000 0.000 0.000
W1 0.500 0.500 0.500
```

=====

[9]
Below is a geometry-optimized Y2BeCd structure, with properties calculated at the PBE level.

Computed properties:
- Energy of formation from the pure elements: -0.559 eV per formula unit
- Magnetization: 0.00 μB per formula unit
- ρ: 5.4 Mg/m³

The structure in CIF format:
```
data_Y2BeCd
_chemical_formula_sum 'Y2 Be1 Cd1'
_symmetry_space_group_name_H-M 'P 4/m m m'
_symmetry_Int_Tables_number 123
_symmetry_space_group_name_Hall '-P 4 2'
_cell_length_a 3.488
_cell_length_b 3.488
_cell_length_c 7.554
_cell_angle_alpha 90.00
_cell_angle_beta 90.00
_cell_angle_gamma 90.00
loop_
_atom_site_label
_atom_site_fract_x
_atom_site_fract_y
_atom_site_fract_z
Y1 0.000 0.000 0.217
Be1 0.500 0.500 0.000
Cd1 0.500 0.500 0.500
```

=====

[10]
Below is a geometry-optimized Ac2TbSc structure, with properties calculated at the PBE level.

Computed properties:
- Energy of formation from the pure elements: 0.300 eV per formula unit
- Magnetization: 0.00 μB per formula unit
- ρ: 7.6 Mg/m³

The structure in CIF format:
```
data_Ac2TbSc
_chemical_formula_sum 'Ac2 Tb1 Sc1'
_symmetry_space_group_name_H-M 'P 4/m m m'
_symmetry_Int_Tables_number 123
_symmetry_space_group_name_Hall '-P 4 2'
_cell_length_a 3.886
_cell_length_b 3.886
_cell_length_c 9.523
_cell_angle_alpha 90.00
_cell_angle_beta 90.00
_cell_angle_gamma 90.00
loop_
_atom_site_label
_atom_site_fract_x
_atom_site_fract_y
_atom_site_fract_z
Ac1 0.000 0.000 0.236
Tb1 0.500 0.500 0.500
Sc1 0.500 0.500 0.000
```

=====

The records above yield DOS(E_F) values of 0.37; 1.86; 1.35; 1.36; 1.09; 1.11; 0.90; 1.36; 0.85; 1.24 states/eV per atom, respectively.
The records above yield raw total energy values of -15.07; -110.32; -133.55; -43.59; -68.16; -25.14; -91.16; -46.05; -18.13; -18.88 eV per cell, respectively.